*i*
{
  "formula": "Pr4Y5Tl",
  "functional": "PBE",
  "state": "relaxed",
  "lattice_angstrom": [[3.667, 0.000, 0.000], [0.000, 3.667, 0.000], [0.000, 0.000, 24.519]],
  "species": ["Pr", "Pr", "Pr", "Pr", "Y", "Y", "Y", "Y", "Y", "Tl"],
  "fractional_positions": [[0.000, 0.000, 0.104], [0.000, 0.000, 0.313], [0.000, 0.000, 0.687], [0.000, 0.000, 0.896], [0.500, 0.500, 0.000], [0.500, 0.500, 0.207], [0.500, 0.500, 0.416], [0.500, 0.500, 0.584], [0.500, 0.500, 0.793], [0.000, 0.000, 0.500]]
}



*ii*
{
  "formula": "Pr4Y5Tl",
  "functional": "PBE",
  "state": "relaxed",
  "lattice_angstrom": [[-5.432, 5.432, 2.945], [5.432, -5.432, 2.945], [5.432, 5.432, -2.945]],
  "species": ["Pr", "Pr", "Pr", "Pr", "Y", "Y", "Y", "Y", "Y", "Tl"],
  "fractional_positions": [[0.000, 0.315, 0.315], [0.000, 0.685, 0.685], [0.315, 0.000, 0.315], [0.685, 0.000, 0.685], [0.320, 0.320, 0.632], [0.320, 0.688, 0.000], [0.688, 0.320, 0.000], [0.688, 0.688, 0.368], [0.809, 0.809, 0.000], [0.290, 0.290, 0.000]]
}



The structure with the least stability is *ii*.



*i*
{
  "formula": "Pr2Y8Tl",
  "functional": "PBE",
  "state": "relaxed",
  "lattice_angstrom": [[9.292, -3.439, 0.000], [9.292, 3.439, 0.000], [-0.253, 0.000, 5.791]],
  "species": ["Pr", "Pr", "Y", "Y", "Y", "Y", "Y", "Y", "Y", "Y", "Tl"],
  "fractional_positions": [[0.221, 0.221, 0.259], [0.779, 0.779, 0.741], [0.052, 0.052, 0.231], [0.120, 0.638, 0.258], [0.330, 0.330, 0.770], [0.362, 0.880, 0.742], [0.638, 0.120, 0.258], [0.670, 0.670, 0.230], [0.880, 0.362, 0.742], [0.948, 0.948, 0.769], [0.500, 0.500, 0.000]]
}



*ii*
{
  "formula": "Pr2Y8Tl",
  "functional": "PBE",
  "state": "relaxed",
  "lattice_angstrom": [[9.809, -2.808, 0.000], [9.809, 2.808, 0.000], [-0.567, 0.000, 6.510]],
  "species": ["Pr", "Pr", "Y", "Y", "Y", "Y", "Y", "Y", "Y", "Y", "Tl"],
  "fractional_positions": [[0.244, 0.244, 0.334], [0.756, 0.756, 0.666], [0.043, 0.043, 0.268], [0.152, 0.152, 0.809], [0.340, 0.340, 0.876], [0.422, 0.422, 0.399], [0.578, 0.578, 0.601], [0.660, 0.660, 0.124], [0.848, 0.848, 0.191], [0.957, 0.957, 0.732], [0.500, 0.500, 0.000]]
}



The structure with the least stability is *i*.